one) The following is a PBE-GGA calculation of a relaxed Rb2Cu3Br8 crystal, from Alexandria.

* space-group type: C2/m (12)
* total moment: 0.0 μB/cell
* volume: 34.4 Å³ per atom

Lattice parameters (Å, degrees): 7.4185 8.5409 8.5288 120.05 104.60 90.00
Positions (direct):
1 Rb 0.3886 0.2826 0.5653
2 Rb 0.6114 0.7174 0.4347
3 Cu 0.5000 0.0000 0.0000
4 Cu 0.0000 0.3149 0.0000
5 Cu 0.0000 0.6851 0.0000
6 Br 0.9931 0.6275 0.2550
7 Br 0.0069 0.3725 0.7450
8 Br 0.7238 0.1537 0.3074
9 Br 0.2762 0.8463 0.6926
10 Br 0.6883 0.7146 0.8691
11 Br 0.6883 0.1545 0.8691
12 Br 0.3117 0.8455 0.1309
13 Br 0.3117 0.2854 0.1309

two) The following is a PBE-GGA calculation of a relaxed Rb2Cu3Br8 crystal, from Alexandria.

* space-group type: P4/mmm (123)
* total moment: 0.0 μB/cell
* volume: 30.2 Å³ per atom

Lattice parameters (Å, degrees): 5.0261 5.0261 15.5205 90.00 90.00 90.00
Positions (direct):
1 Rb 0.0000 0.0000 0.1839
2 Rb 0.0000 0.0000 0.8161
3 Cu 0.5000 0.5000 0.3378
4 Cu 0.5000 0.5000 0.0000
5 Cu 0.5000 0.5000 0.6622
6 Br 0.5000 0.0000 0.3580
7 Br 0.0000 0.5000 0.3580
8 Br 0.0000 0.5000 0.0000
9 Br 0.5000 0.5000 0.1696
10 Br 0.5000 0.0000 0.6420
11 Br 0.0000 0.5000 0.6420
12 Br 0.5000 0.5000 0.8304
13 Br 0.5000 0.0000 0.0000

The most stable of them is one).

one) The following is a PBE-GGA calculation of a relaxed RbCuSe2Br crystal, from Alexandria.

* space-group type: P4/mmm (123)
* total moment: 0.7 μB/cell
* volume: 29.2 Å³ per atom

Lattice parameters (Å, degrees): 4.7506 4.7506 6.4668 90.00 90.00 90.00
Positions (direct):
1 Cu 0.0000 0.0000 0.0000
2 Se 0.0000 0.5000 0.0000
3 Se 0.5000 0.0000 0.0000
4 Br 0.0000 0.0000 0.5000
5 Rb 0.5000 0.5000 0.5000

two) The following is a PBE-GGA calculation of a relaxed RbCuSe2Br crystal, from Alexandria.

* space-group type: P4/mmm (123)
* total moment: 3.0 μB/cell
* volume: 51.2 Å³ per atom

Lattice parameters (Å, degrees): 6.3866 6.3866 6.2758 90.00 90.00 90.00
Positions (direct):
1 Cu 0.5000 0.5000 0.5000
2 Se 0.0000 0.5000 0.0000
3 Se 0.5000 0.0000 0.0000
4 Br 0.0000 0.0000 0.5000
5 Rb 0.0000 0.0000 0.0000

The most stable of them is one).

one) The following is a PBE-GGA calculation of a relaxed CuReBr2 crystal, from Alexandria.

* space-group type: Immm (71)
* total moment: 1.0 μB/cell
* volume: 25.3 Å³ per atom

Lattice parameters (Å, degrees): 8.0101 8.0101 8.0101 157.92 148.38 38.90
Positions (direct):
1 Br 0.1134 0.1134 0.0000
2 Br 0.3866 0.3866 0.0000
3 Cu 0.7500 0.2500 0.5000
4 Re 0.2500 0.7500 0.5000

two) The following is a PBE-GGA calculation of a relaxed CuReBr2 crystal, from Alexandria.

* space-group type: Cmmm (65)
* total moment: 0.0 μB/cell
* volume: 20.5 Å³ per atom

Lattice parameters (Å, degrees): 3.2397 3.2397 9.4297 90.00 90.00 124.11
Positions (direct):
1 Br 0.0000 0.0000 0.9670
2 Br 0.0000 0.0000 0.5330
3 Cu 0.5000 0.5000 0.2500
4 Re 0.5000 0.5000 0.7500

The most stable of them is one).

one) The following is a PBE-GGA calculation of a relaxed CuReBr2 crystal, from Alexandria.

* space-group type: Imm2 (44)
* total moment: 1.0 μB/cell
* volume: 21.4 Å³ per atom

Lattice parameters (Å, degrees): 6.6843 6.6843 6.6843 153.77 139.49 48.90
Positions (direct):
1 Br 0.0692 0.0692 0.0000
2 Br 0.7723 0.2723 0.5000
3 Cu 0.4159 0.4159 0.0000
4 Re 0.2425 0.7425 0.5000

two) The following is a PBE-GGA calculation of a relaxed CuReBr2 crystal, from Alexandria.

* space-group type: I-4m2 (119)
* total moment: 3.7 μB/cell
* volume: 22.0 Å³ per atom

Lattice parameters (Å, degrees): 6.7846 6.7846 6.7846 147.90 147.90 46.03
Positions (direct):
1 Br 0.0000 0.0000 0.0000
2 Br 0.2500 0.7500 0.5000
3 Cu 0.5000 0.5000 0.0000
4 Re 0.7500 0.2500 0.5000

The most stable of them is one).

one) The following is a PBE-GGA calculation of a relaxed CuRe2Br crystal, from Alexandria.

* space-group type: C2/m (12)
* total moment: 0.0 μB/cell
* volume: 16.5 Å³ per atom

Lattice parameters (Å, degrees): 5.6717 5.6717 3.1058 73.97 73.97 124.70
Positions (direct):
1 Br 0.5000 0.0000 0.5000
2 Cu 0.0000 0.5000 0.5000
3 Re 0.0000 0.0000 0.0000
4 Re 0.5000 0.5000 0.0000

two) The following is a PBE-GGA calculation of a relaxed CuRe2Br crystal, from Alexandria.

* space-group type: Cmmm (65)
* total moment: 0.0 μB/cell
* volume: 21.3 Å³ per atom

Lattice parameters (Å, degrees): 2.6559 2.6559 13.6604 90.00 90.00 117.60
Positions (direct):
1 Br 0.5000 0.5000 0.2500
2 Cu 0.5000 0.5000 0.7500
3 Re 0.0000 0.0000 0.9141
4 Re 0.0000 0.0000 0.5859

The most stable of them is two).

one) The following is a PBE-GGA calculation of a relaxed CuRe2Br crystal, from Alexandria.

* space-group type: Imm2 (44)
* total moment: 0.0 μB/cell
* volume: 16.3 Å³ per atom

Lattice parameters (Å, degrees): 5.7088 5.7088 5.7088 151.24 132.92 56.11
Positions (direct):
1 Br 0.5298 0.5298 0.0000
2 Cu 0.2386 0.7386 0.5000
3 Re 0.9711 0.9711 0.0000
4 Re 0.7606 0.2606 0.5000

two) The following is a PBE-GGA calculation of a relaxed CuRe2Br crystal, from Alexandria.

* space-group type: P4/mmm (123)
* total moment: 0.0 μB/cell
* volume: 16.3 Å³ per atom

Lattice parameters (Å, degrees): 4.6766 3.7306 3.7306 90.00 90.00 90.00
Positions (direct):
1 Br 0.5000 0.5000 0.0000
2 Cu 0.5000 0.0000 0.5000
3 Re 0.0000 0.0000 0.0000
4 Re 0.0000 0.5000 0.5000

three) The following is a PBE-GGA calculation of a relaxed CuRe2Br crystal, from Alexandria.

* space-group type: I-42d (122)
* total moment: 0.0 μB/cell
* volume: 17.6 Å³ per atom

Lattice parameters (Å, degrees): 3.8082 3.8082 10.0788 79.11 79.11 90.00
Positions (direct):
1 Re 0.5666 0.1250 0.2500
2 Re 0.1834 0.6250 0.2500
3 Re 0.3750 0.4334 0.7500
4 Re 0.8750 0.8166 0.7500
5 Cu 0.5000 0.5000 0.0000
6 Cu 0.2500 0.7500 0.5000
7 Br 0.0000 0.0000 0.0000
8 Br 0.7500 0.2500 0.5000

The most stable of them is one).

one) The following is a PBE-GGA calculation of a relaxed CuRe2Br crystal, from Alexandria.

* space-group type: I-4m2 (119)
* total moment: 0.0 μB/cell
* volume: 15.5 Å³ per atom

Lattice parameters (Å, degrees): 4.5944 4.5944 4.5944 125.50 125.50 80.72
Positions (direct):
1 Br 0.5000 0.5000 0.0000
2 Cu 0.7500 0.2500 0.5000
3 Re 0.0000 0.0000 0.0000
4 Re 0.2500 0.7500 0.5000

two) The following is a PBE-GGA calculation of a relaxed CuRe2Br crystal, from Alexandria.

* space-group type: R-3m (166)
* total moment: 0.0 μB/cell
* volume: 15.4 Å³ per atom

Lattice parameters (Å, degrees): 8.6970 8.6970 8.6970 19.09 19.09 19.09
Positions (direct):
1 Br 0.2500 0.2500 0.2500
2 Cu 0.7500 0.7500 0.7500
3 Re 0.0025 0.0025 0.0025
4 Re 0.4975 0.4975 0.4975

three) The following is a PBE-GGA calculation of a relaxed CuRe2Br crystal, from Alexandria.

* space-group type: Fm-3m (225)
* total moment: 0.0 μB/cell
* volume: 14.6 Å³ per atom

Lattice parameters (Å, degrees): 4.3535 4.3535 4.3535 60.00 60.00 60.00
Positions (direct):
1 Re 0.2500 0.2500 0.2500
2 Re 0.7500 0.7500 0.7500
3 Cu 0.0000 0.0000 0.0000
4 Br 0.5000 0.5000 0.5000

The most stable of them is two).

one) The following is a PBE-GGA calculation of a relaxed Cu3RuBr crystal, from Alexandria.

* space-group type: Pm-3m (221)
* total moment: 0.0 μB/cell
* volume: 18.1 Å³ per atom

Lattice parameters (Å, degrees): 4.4871 4.4871 4.4871 90.00 90.00 90.00
Positions (direct):
1 Ru 0.5000 0.5000 0.5000
2 Cu 0.0000 0.5000 0.0000
3 Cu 0.0000 0.0000 0.5000
4 Cu 0.5000 0.0000 0.0000
5 Br 0.0000 0.0000 0.0000

two) The following is a PBE-GGA calculation of a relaxed Cu3RuBr crystal, from Alexandria.

* space-group type: Pm-3m (221)
* total moment: 2.1 μB/cell
* volume: 21.3 Å³ per atom

Lattice parameters (Å, degrees): 4.7378 4.7378 4.7378 90.00 90.00 90.00
Positions (direct):
1 Ru 0.0000 0.0000 0.0000
2 Cu 0.0000 0.5000 0.0000
3 Cu 0.0000 0.0000 0.5000
4 Cu 0.5000 0.0000 0.0000
5 Br 0.5000 0.5000 0.5000

The most stable of them is two).